Record 1
# Pm5YBi4

An optimized crystal structure of Pm5YBi4 (PBE-GGA, Alexandria via LeMat-Bulk).

Output
Raw total energy   -5.13 eV/atom
Space-group type   C2/m, No. 12
Crystal system   monoclinic
Energy relative to the elements   -0.553 eV/atom
D(E_F)   6.829 states/eV/f.u.

abc: 9.9562 9.9562 8.7186
angles: 105.46 105.46 25.97
Sites, in units of the cell vectors:
Pm  0.0000  0.0000  0.0000
Pm  0.3217  0.3217  0.1483
Pm  0.3364  0.3364  0.6810
Pm  0.6636  0.6636  0.3190
Pm  0.6783  0.6783  0.8517
Y  0.0000  0.0000  0.5000
Bi  0.1678  0.1678  0.5844
Bi  0.4918  0.4918  0.2467
Bi  0.5082  0.5082  0.7533
Bi  0.8322  0.8322  0.4156

***

Record 2
# Pm3YBi2

An optimized crystal structure of Pm3YBi2 (PBE-GGA, Alexandria via LeMat-Bulk).

Output
Raw total energy   -5.40 eV/atom
Space-group type   P-4m2, No. 115
Crystal system   tetragonal
Energy relative to the elements   -0.652 eV/atom
D(E_F)   5.131 states/eV/f.u.

abc: 4.6318 4.6318 8.8783
angles: 90.00 90.00 90.00
Sites, in units of the cell vectors:
Pm  0.0000  0.0000  0.0000
Pm  0.0000  0.5000  0.6492
Pm  0.5000  0.0000  0.3508
Y  0.5000  0.5000  0.0000
Bi  0.0000  0.5000  0.2789
Bi  0.5000  0.0000  0.7211

***

Record 3
# PmYBi2

An optimized crystal structure of PmYBi2 (PBE-GGA, Alexandria via LeMat-Bulk).

Output
Raw total energy   -5.40 eV/atom
Space-group type   Fm-3m, No. 225
Crystal system   cubic
Energy relative to the elements   -0.659 eV/atom
D(E_F)   3.195 states/eV/f.u.

abc: 5.5588 5.5588 5.5588
angles: 60.00 60.00 60.00
Sites, in units of the cell vectors:
Pm  0.0000  0.0000  0.0000
Y  0.5000  0.5000  0.5000
Bi  0.2500  0.2500  0.2500
Bi  0.7500  0.7500  0.7500

***

Record 4
# PmY4Bi5

An optimized crystal structure of PmY4Bi5 (PBE-GGA, Alexandria via LeMat-Bulk).

Output
Raw total energy   -5.91 eV/atom
Space-group type   Immm, No. 71
Crystal system   orthorhombic
Energy relative to the elements   -0.905 eV/atom
D(E_F)   2.061 states/eV/f.u.

abc: 11.9075 11.9075 11.9075
angles: 158.21 148.98 38.23
Sites, in units of the cell vectors:
Pm  0.0000  0.0000  0.0000
Y  0.2013  0.2013  0.0000
Y  0.4000  0.4000  0.0000
Y  0.6000  0.6000  0.0000
Y  0.7987  0.7987  0.0000
Bi  0.1023  0.6023  0.5000
Bi  0.3005  0.8005  0.5000
Bi  0.5000  0.0000  0.5000
Bi  0.6995  0.1995  0.5000
Bi  0.8977  0.3977  0.5000

***

Record 5
# PmYBi2

An optimized crystal structure of PmYBi2 (PBE-GGA, Alexandria via LeMat-Bulk).

Output
Raw total energy   -5.59 eV/atom
Space-group type   P6_3/mmc, No. 194
Crystal system   hexagonal
Energy relative to the elements   -0.846 eV/atom
D(E_F)   0.866 states/eV/f.u.

abc: 4.5233 4.5233 14.9725
angles: 90.00 90.00 120.00
Sites, in units of the cell vectors:
Pm  0.0000  0.0000  0.0000
Pm  0.0000  0.0000  0.5000
Y  0.3333  0.6667  0.2500
Y  0.6667  0.3333  0.7500
Bi  0.3333  0.6667  0.6254
Bi  0.3333  0.6667  0.8746
Bi  0.6667  0.3333  0.1254
Bi  0.6667  0.3333  0.3746

***

Record 6
# PmYBi

An optimized crystal structure of PmYBi (PBE-GGA, Alexandria via LeMat-Bulk).

Output
Raw total energy   -5.65 eV/atom
Space-group type   P4/nmm, No. 129
Crystal system   tetragonal
Energy relative to the elements   -0.620 eV/atom
D(E_F)   2.939 states/eV/f.u.

abc: 4.5908 4.5908 8.7999
angles: 90.00 90.00 90.00
Sites, in units of the cell vectors:
Pm  0.2500  0.7500  0.0000
Pm  0.7500  0.2500  0.0000
Y  0.2500  0.2500  0.3513
Y  0.7500  0.7500  0.6487
Bi  0.2500  0.2500  0.7126
Bi  0.7500  0.7500  0.2874

***

Record 7
# PmY3Bi4

An optimized crystal structure of PmY3Bi4 (PBE-GGA, Alexandria via LeMat-Bulk).

Output
Raw total energy   -5.87 eV/atom
Space-group type   Pm-3m, No. 221
Crystal system   cubic
Energy relative to the elements   -0.909 eV/atom
D(E_F)   0.478 states/eV/f.u.

abc: 6.3714 6.3714 6.3714
angles: 90.00 90.00 90.00
Sites, in units of the cell vectors:
Pm  0.0000  0.0000  0.0000
Y  0.0000  0.5000  0.5000
Y  0.5000  0.0000  0.5000
Y  0.5000  0.5000  0.0000
Bi  0.0000  0.0000  0.5000
Bi  0.0000  0.5000  0.0000
Bi  0.5000  0.0000  0.0000
Bi  0.5000  0.5000  0.5000

***

Record 8
# PmYBi

An optimized crystal structure of PmYBi (PBE-GGA, Alexandria via LeMat-Bulk).

Output
Raw total energy   -5.69 eV/atom
Space-group type   P4/nmm, No. 129
Crystal system   tetragonal
Energy relative to the elements   -0.663 eV/atom
D(E_F)   2.517 states/eV/f.u.

abc: 4.6141 4.6141 8.8010
angles: 90.00 90.00 90.00
Sites, in units of the cell vectors:
Pm  0.2500  0.2500  0.1506
Pm  0.7500  0.7500  0.8494
Y  0.2500  0.7500  0.5000
Y  0.7500  0.2500  0.5000
Bi  0.2500  0.2500  0.7759
Bi  0.7500  0.7500  0.2241

***

Record 9
# PmY8Bi6

An optimized crystal structure of PmY8Bi6 (PBE-GGA, Alexandria via LeMat-Bulk).

Output
Raw total energy   -5.88 eV/atom
Space-group type   R-3, No. 148
Crystal system   trigonal
Energy relative to the elements   -0.568 eV/atom
D(E_F)   9.573 states/eV/f.u.

abc: 10.7648 10.7648 10.7648
angles: 41.97 41.97 41.97
Sites, in units of the cell vectors:
Pm  0.0000  0.0000  0.0000
Y  0.1227  0.4496  0.7914
Y  0.2086  0.8773  0.5504
Y  0.3335  0.3335  0.3335
Y  0.4496  0.7914  0.1227
Y  0.5504  0.2086  0.8773
Y  0.6665  0.6665  0.6665
Y  0.7914  0.1227  0.4496
Y  0.8773  0.5504  0.2086
Bi  0.0623  0.7258  0.4014
Bi  0.2742  0.5986  0.9377
Bi  0.4014  0.0623  0.7258
Bi  0.5986  0.9377  0.2742
Bi  0.7258  0.4014  0.0623
Bi  0.9377  0.2742  0.5986

***

Record 10
# Pm8YBi6

An optimized crystal structure of Pm8YBi6 (PBE-GGA, Alexandria via LeMat-Bulk).

Output
Raw total energy   -5.10 eV/atom
Space-group type   R-3, No. 148
Crystal system   trigonal
Energy relative to the elements   -0.586 eV/atom
D(E_F)   15.714 states/eV/f.u.

abc: 9.9952 9.9952 9.9952
angles: 48.93 48.93 48.93
Sites, in units of the cell vectors:
Pm  0.0394  0.7146  0.3797
Pm  0.1668  0.1668  0.1668
Pm  0.2854  0.6203  0.9606
Pm  0.3797  0.0394  0.7146
Pm  0.6203  0.9606  0.2854
Pm  0.7146  0.3797  0.0394
Pm  0.8332  0.8332  0.8332
Pm  0.9606  0.2854  0.6203
Y  0.5000  0.5000  0.5000
Bi  0.1063  0.4329  0.7632
Bi  0.2368  0.8937  0.5671
Bi  0.4329  0.7632  0.1063
Bi  0.5671  0.2368  0.8937
Bi  0.7632  0.1063  0.4329
Bi  0.8937  0.5671  0.2368

***

Record 11
# Pm2YBi3

An optimized crystal structure of Pm2YBi3 (PBE-GGA, Alexandria via LeMat-Bulk).

Output
Raw total energy   -5.53 eV/atom
Space-group type   Immm, No. 71
Crystal system   orthorhombic
Energy relative to the elements   -0.924 eV/atom
D(E_F)   1.265 states/eV/f.u.

abc: 7.8767 7.8767 7.8767
angles: 146.43 131.81 60.01
Sites, in units of the cell vectors:
Pm  0.1676  0.1676  0.0000
Pm  0.8324  0.8324  0.0000
Y  0.5000  0.5000  0.0000
Bi  0.0000  0.5000  0.5000
Bi  0.3366  0.8366  0.5000
Bi  0.6634  0.1634  0.5000

***

Record 12
# PmY4Bi2

An optimized crystal structure of PmY4Bi2 (PBE-GGA, Alexandria via LeMat-Bulk).

Output
Raw total energy   -5.20 eV/atom
Space-group type   I4/mmm, No. 139
Crystal system   tetragonal
Energy relative to the elements   0.283 eV/atom
D(E_F)   7.588 states/eV/f.u.

abc: 9.2365 9.2365 9.2365
angles: 146.35 146.35 48.33
Sites, in units of the cell vectors:
Pm  0.0000  0.0000  0.0000
Y  0.0000  0.5000  0.5000
Y  0.1825  0.1825  0.0000
Y  0.5000  0.0000  0.5000
Y  0.8175  0.8175  0.0000
Bi  0.3658  0.3658  0.0000
Bi  0.6342  0.6342  0.0000

***

Number 1: V 36.40 Å³ per atom. Number 2: V 31.75 Å³ per atom. Number 3: V 30.36 Å³ per atom. Number 4: V 32.25 Å³ per atom. Number 5: V 33.16 Å³ per atom. Number 6: V 30.91 Å³ per atom. Number 7: V 32.33 Å³ per atom. Number 8: V 31.23 Å³ per atom. Number 9: V 33.64 Å³ per atom. Number 10: V 34.73 Å³ per atom. Number 11: V 33.27 Å³ per atom. Number 12: V 34.42 Å³ per atom.